## Na3CeU2S6 (PBE-GGA)

Data for a relaxed Na3CeU2S6 crystal.

Output
density	5.18	g/cm3
E	-6.25	eV per atom

Unit cell a=6.939 b=6.939 c=7.137 alpha=99.34 beta=99.34 gamma=120.01
Fractional coordinates of all 12 atoms:
S  0.077  0.419  0.232
Na  0.166  0.834  0.500
S  0.581  0.923  0.768
S  0.264  0.264  0.767
S  0.419  0.077  0.232
U  0.667  0.333  0.000
Na  0.500  0.500  0.500
Na  0.834  0.166  0.500
U  0.333  0.667  0.000
S  0.736  0.736  0.233
Ce  0.000  0.000  0.000
S  0.923  0.581  0.768